A relaxed TmMgSi2Pt4 crystal. Source: OQMD, functional PBE.

## Properties
E in eV/atom: -6.10

Cell: 7.055 5.411 5.411 Å, 39.89 90.00 90.00°
Atoms (fractional coordinates):
Pt  0.300  0.862  0.862
Pt  0.700  0.862  0.862
Pt  0.796  0.142  0.142
Pt  0.204  0.142  0.142
Si  0.000  0.733  0.733
Si  0.500  0.267  0.267
Mg  0.500  0.541  0.541
Tm  0.000  0.452  0.452